1.
Material: Ac6Ir2RuAu
Method: DFT, PBE-GGA
State: optimized geometry

Lattice parameters (Å, degrees): 7.575 7.579 8.251 62.63 62.66 60.01
Positions (direct):
Ac 0.116 0.391 0.758
Ac 0.390 0.736 0.757
Ac 0.736 0.116 0.758
Ac 0.256 0.917 0.239
Ac 0.917 0.587 0.240
Ac 0.587 0.255 0.240
Ru 0.326 0.327 0.021
Au 0.825 0.825 0.525
Ir 0.002 0.001 0.996
Ir 0.506 0.506 0.481

SG = No. 146
crystal system = trigonal
energy of formation from the pure elements = -508 meV/atom

=====

2.
Material: PmEuAg
Method: DFT, PBE-GGA
State: optimized geometry

Lattice parameters (Å, degrees): 3.772 3.772 7.057 105.50 105.50 90.00
Site moments in Bohr magnetons follow the coordinates.
Positions (direct):
Eu 0.022 0.022 0.044  6.90
Ag 0.674 0.674 0.348  0.01
Pm 0.304 0.304 0.608  0.13

SG = No. 107
crystal system = tetragonal
energy of formation from the pure elements = -142 meV/atom

=====

3.
Material: NaPu2Os
Method: DFT, PBE-GGA
State: optimized geometry

Lattice parameters (Å, degrees): 3.249 3.249 9.678 90.00 90.00 90.00
Site moments in Bohr magnetons follow the coordinates.
Positions (direct):
Pu 0.000 0.000 0.817  5.36
Pu 0.000 0.000 0.183  5.36
Os 0.500 0.500 0.000  -0.55
Na 0.500 0.500 0.500  0.01

SG = No. 123
crystal system = tetragonal
energy of formation from the pure elements = 90 meV/atom

=====

4.
Material: CsCa2BeO
Method: DFT, PBE-GGA
State: optimized geometry

Lattice parameters (Å, degrees): 4.734 7.600 4.734 90.00 90.00 90.00
Positions (direct):
Ca 0.000 0.000 0.500
Ca 0.500 0.000 0.000
Be 0.000 0.500 0.000
O 0.000 0.000 0.000
Cs 0.500 0.500 0.500

SG = No. 123
crystal system = tetragonal
formation energy without anion corrections = -0.29 eV/atom

=====

5.
Material: NdTi4SnO12
Method: DFT, PBE-GGA
State: optimized geometry

Lattice parameters (Å, degrees): 5.350 5.350 7.825 90.00 90.00 90.20
Site moments in Bohr magnetons follow the coordinates.
Positions (direct):
O 0.171 0.171 0.180  0.01
O 0.696 0.300 0.739  0.11
O 0.597 0.995 0.000  0.04
O 0.300 0.696 0.739  0.11
O 0.783 0.783 0.714  0.11
O 0.045 0.454 0.500  0.12
O 0.171 0.171 0.820  0.01
O 0.696 0.300 0.261  0.11
O 0.300 0.696 0.261  0.11
O 0.783 0.783 0.286  0.11
O 0.995 0.597 0.000  0.04
O 0.454 0.045 0.500  0.12
Sn 0.973 0.973 0.000  0.00
Ti 0.008 0.499 0.252  -0.04
Ti 0.499 0.008 0.748  -0.04
Ti 0.008 0.499 0.748  -0.04
Ti 0.499 0.008 0.252  -0.04
Nd 0.533 0.533 0.500  -0.01

SG = No. 38
crystal system = orthorhombic
formation energy without anion corrections = -2.60 eV/atom

=====

6.
Material: MgBeIr4
Method: DFT, PBE-GGA
State: optimized geometry

Lattice parameters (Å, degrees): 5.155 5.155 5.155 60.00 60.00 60.00
Positions (direct):
Ir 0.625 0.124 0.625
Ir 0.625 0.625 0.124
Ir 0.124 0.625 0.625
Ir 0.625 0.625 0.625
Be 0.000 0.000 0.000
Mg 0.250 0.250 0.250

SG = No. 216
crystal system = cubic
energy of formation from the pure elements = 224 meV/atom

=====

Calculated total energy, respectively: -0.2205 -0.2242 -0.3753 -0.1103 -0.2995 -0.2414 hartree per atom.
Magnetic moment, respectively: 0.00 2.51 2.75 0.00 0.06 0.00 μB/atom.